[1]
Ho3Zn4Ag2: optimized geometry, GGA-PBE.

## Properties
Energy of formation from the pure elements = -0.33 eV per atom
Fermi-level density of states = 6.981 states/eV per cell
Magnetization = 0.000 μB per atom
V = 20.706 Å³ per atom
SG = C2/m (12)

Unit cell a=4.536 b=5.719 c=8.292 alpha=73.80 beta=74.13 gamma=66.64
Sites, in units of the cell vectors:
Zn1 0.727 0.601 0.946
Ho1 0.000 0.000 0.000
Ho2 0.670 0.324 0.335
Zn2 0.955 0.705 0.385
Zn3 0.045 0.295 0.615
Ag1 0.393 0.941 0.273
Ag2 0.607 0.059 0.727
Zn4 0.273 0.399 0.054
Ho3 0.330 0.676 0.665

=====

[2]
Ho5Bi2Os: optimized geometry, GGA-PBE.

## Properties
Energy of formation from the pure elements = -0.16 eV per atom
Fermi-level density of states = 11.888 states/eV per cell
Magnetization = 0.000 μB per atom
V = 39.565 Å³ per atom
SG = Cmcm (63)

Unit cell a=5.563 b=8.352 c=14.449 alpha=90.00 beta=90.00 gamma=109.45
Sites, in units of the cell vectors:
Os1 0.174 0.348 0.250
Ho1 0.053 0.105 0.124
Ho2 0.279 0.557 0.104
Ho3 0.721 0.443 0.896
Ho4 0.721 0.443 0.604
Ho5 0.947 0.895 0.624
Os2 0.826 0.652 0.750
Ho6 0.947 0.895 0.876
Ho7 0.279 0.557 0.396
Bi1 0.857 0.715 0.071
Ho8 0.699 0.398 0.250
Bi2 0.143 0.285 0.929
Ho9 0.053 0.105 0.376
Bi3 0.857 0.715 0.429
Bi4 0.143 0.285 0.571
Ho10 0.301 0.602 0.750